1.
# Sr2AsRu (GGA-PBEsol, relaxed)
data_Sr2AsRu
_cell_length_a 4.661
_cell_length_b 4.661
_cell_length_c 8.475
_cell_angle_alpha 90.00
_cell_angle_beta 90.00
_cell_angle_gamma 90.00
_symmetry_space_group_name_H-M 'I 4/m m m'
_symmetry_Int_Tables_number 139
_symmetry_space_group_name_Hall '-I 4 2'
loop_
_atom_site_label
_atom_site_type_symbol
_atom_site_fract_x
_atom_site_fract_y
_atom_site_fract_z
Sr1 Sr 0.000 0.500 0.250
As1 As 0.000 0.000 0.000
Ru1 Ru 0.000 0.000 0.500
# Energy of formation: 6.0 kJ/mol of atoms
# Total DFT energy (no corrections): -4.677 eV/atom
# DOS(E_F): 1.009 states/eV/atom

***

2.
# SrAsRu (GGA-PBEsol, relaxed)
data_SrAsRu
_cell_length_a 6.383
_cell_length_b 6.383
_cell_length_c 6.383
_cell_angle_alpha 90.00
_cell_angle_beta 90.00
_cell_angle_gamma 90.00
_symmetry_space_group_name_H-M 'F -4 3 m'
_symmetry_Int_Tables_number 216
_symmetry_space_group_name_Hall 'F -4 2 3'
loop_
_atom_site_label
_atom_site_type_symbol
_atom_site_fract_x
_atom_site_fract_y
_atom_site_fract_z
Sr1 Sr 0.000 0.000 0.000
As1 As 0.000 0.000 0.500
Ru1 Ru 0.250 0.250 0.750
# Energy of formation: 14.4 kJ/mol of atoms
# Total DFT energy (no corrections): -5.557 eV/atom
# DOS(E_F): 0.864 states/eV/atom

***

3.
# SrZn2AsRu (GGA-PBEsol, relaxed)
data_SrZn2AsRu
_cell_length_a 4.855
_cell_length_b 4.855
_cell_length_c 4.623
_cell_angle_alpha 90.00
_cell_angle_beta 90.00
_cell_angle_gamma 90.00
_symmetry_space_group_name_H-M 'P 4/m m m'
_symmetry_Int_Tables_number 123
_symmetry_space_group_name_Hall '-P 4 2'
loop_
_atom_site_label
_atom_site_type_symbol
_atom_site_fract_x
_atom_site_fract_y
_atom_site_fract_z
Sr1 Sr 0.000 0.000 0.000
Zn1 Zn 0.000 0.500 0.500
As1 As 0.500 0.500 0.500
Ru1 Ru 0.500 0.500 0.000
# Energy of formation: 27.6 kJ/mol of atoms
# Total DFT energy (no corrections): -3.771 eV/atom
# DOS(E_F): 0.458 states/eV/atom

***

4.
# TaAsRu2 (GGA-PBEsol, relaxed)
data_TaAsRu2
_cell_length_a 4.134
_cell_length_b 4.134
_cell_length_c 3.438
_cell_angle_alpha 90.00
_cell_angle_beta 90.00
_cell_angle_gamma 90.00
_symmetry_space_group_name_H-M 'P 4/m m m'
_symmetry_Int_Tables_number 123
_symmetry_space_group_name_Hall '-P 4 2'
loop_
_atom_site_label
_atom_site_type_symbol
_atom_site_fract_x
_atom_site_fract_y
_atom_site_fract_z
Ta1 Ta 0.000 0.000 0.000
As1 As 0.500 0.500 0.000
Ru1 Ru 0.000 0.500 0.500
# Energy of formation: -11.7 kJ/mol of atoms
# Total DFT energy (no corrections): -9.622 eV/atom
# DOS(E_F): 0.651 states/eV/atom

***

5.
# TaAsRu2 (GGA-PBEsol, relaxed)
data_TaAsRu2
_cell_length_a 2.8223
_cell_length_b 2.8223
_cell_length_c 25.7603
_cell_angle_alpha 90.00
_cell_angle_beta 90.00
_cell_angle_gamma 120.00
_symmetry_space_group_name_H-M 'R 3 m'
_symmetry_Int_Tables_number 160
_symmetry_space_group_name_Hall 'R 3 -2"'
loop_
_atom_site_label
_atom_site_type_symbol
_atom_site_fract_x
_atom_site_fract_y
_atom_site_fract_z
Ta1 Ta 0.0000 0.0000 0.0000
As1 As 0.0000 0.0000 0.2458
Ru1 Ru 0.0000 0.0000 0.5024
Ru2 Ru 0.0000 0.0000 0.7548
# Energy of formation: 8.3 kJ/mol of atoms
# Total DFT energy (no corrections): -9.415 eV/atom
# DOS(E_F): 0.618 states/eV/atom

***

6.
# Ta3AsRu (GGA-PBEsol, relaxed)
data_Ta3AsRu
_cell_length_a 4.737
_cell_length_b 4.737
_cell_length_c 4.737
_cell_angle_alpha 90.00
_cell_angle_beta 90.00
_cell_angle_gamma 90.00
_symmetry_space_group_name_H-M 'P m -3 m'
_symmetry_Int_Tables_number 221
_symmetry_space_group_name_Hall '-P 4 2 3'
loop_
_atom_site_label
_atom_site_type_symbol
_atom_site_fract_x
_atom_site_fract_y
_atom_site_fract_z
Ta1 Ta 0.000 0.000 0.500
As1 As 0.500 0.500 0.500
Ru1 Ru 0.000 0.000 0.000
# Energy of formation: 109.7 kJ/mol of atoms
# Total DFT energy (no corrections): -9.449 eV/atom
# DOS(E_F): 1.129 states/eV/atom

***

7.
# TaAsRu2 (GGA-PBEsol, relaxed)
data_TaAsRu2
_cell_length_a 4.009
_cell_length_b 4.009
_cell_length_c 7.252
_cell_angle_alpha 90.00
_cell_angle_beta 90.00
_cell_angle_gamma 90.00
_symmetry_space_group_name_H-M 'I 4/m m m'
_symmetry_Int_Tables_number 139
_symmetry_space_group_name_Hall '-I 4 2'
loop_
_atom_site_label
_atom_site_type_symbol
_atom_site_fract_x
_atom_site_fract_y
_atom_site_fract_z
Ta1 Ta 0.000 0.000 0.000
As1 As 0.000 0.000 0.500
Ru1 Ru 0.000 0.500 0.250
# Energy of formation: -17.7 kJ/mol of atoms
# Total DFT energy (no corrections): -9.684 eV/atom
# DOS(E_F): 0.499 states/eV/atom

***

8.
# Ta2TiAsRu (GGA-PBEsol, relaxed)
data_Ta2TiAsRu
_cell_length_a 4.636
_cell_length_b 4.636
_cell_length_c 4.450
_cell_angle_alpha 90.00
_cell_angle_beta 90.00
_cell_angle_gamma 90.00
_symmetry_space_group_name_H-M 'P 4/m m m'
_symmetry_Int_Tables_number 123
_symmetry_space_group_name_Hall '-P 4 2'
loop_
_atom_site_label
_atom_site_type_symbol
_atom_site_fract_x
_atom_site_fract_y
_atom_site_fract_z
Ta1 Ta 0.000 0.500 0.000
Ti1 Ti 0.000 0.000 0.500
As1 As 0.000 0.000 0.000
Ru1 Ru 0.500 0.500 0.500
# Energy of formation: 88.6 kJ/mol of atoms
# Total DFT energy (no corrections): -8.823 eV/atom
# DOS(E_F): 1.051 states/eV/atom